*A*
The following is a DFT calculation (PBE) of a geometry-optimized Ca2FeCu structure.

a b c (Å): 5.034 5.034 5.034
angles (deg): 60.00 60.00 60.00
Positions (direct):
Ca 0.750 0.750 0.750
Fe 0.000 0.000 0.000
Ca 0.250 0.250 0.250
Cu 0.500 0.500 0.500

For the mass density, the calculation gives 3.67 g cm⁻³. Its crystal system is cubic. As for the volume: 22.55 A^3/atom. Its space-group type is Fm-3m (225).


*B*
The following is a DFT calculation (PBE) of a geometry-optimized Ca2FeCu structure.

a b c (Å): 3.830 3.830 8.545
angles (deg): 82.38 82.38 50.05
Positions (direct):
Ca 0.003 0.003 0.997
Fe 0.250 0.250 0.250
Cu 0.750 0.750 0.750
Ca 0.497 0.497 0.503

For the mass density, the calculation gives 3.49 g cm⁻³. Its crystal system is monoclinic. As for the volume: 23.76 A^3/atom. Its space-group type is C2/m (12).


Which of them is most stable? Easy: *A*.


*A*
The following is a DFT calculation (PBE) of a geometry-optimized Ca2FeCu structure.

a b c (Å): 7.821 7.821 6.314
angles (deg): 51.73 51.73 90.00
Positions (direct):
Cu 0.000 0.000 0.000
Cu 0.750 0.250 0.500
Fe 0.500 0.500 0.000
Ca 0.640 0.125 0.250
Fe 0.250 0.750 0.500
Ca 0.875 0.890 0.750
Ca 0.375 0.360 0.750
Ca 0.110 0.625 0.250

For the mass density, the calculation gives 3.56 g cm⁻³. Its crystal system is tetragonal. As for the volume: 23.30 A^3/atom. Its space-group type is I-42d (122).


*B*
The following is a DFT calculation (PBE) of a geometry-optimized Ca2FeCu structure.

a b c (Å): 4.177 4.292 5.781
angles (deg): 68.26 90.00 90.00
Positions (direct):
Fe 0.500 0.572 0.731
Ca 0.000 0.980 0.915
Cu 0.000 0.679 0.517
Ca 0.500 0.269 0.337

For the mass density, the calculation gives 3.44 g cm⁻³. Its crystal system is orthorhombic. As for the volume: 24.06 A^3/atom. Its space-group type is Amm2 (38).


*C*
The following is a DFT calculation (PBE) of a geometry-optimized Ca2FeCu structure.

a b c (Å): 4.934 4.934 4.934
angles (deg): 60.00 60.00 60.00
Positions (direct):
Cu 0.500 0.500 0.500
Ca 0.000 0.000 0.000
Ca 0.250 0.250 0.250
Fe 0.750 0.750 0.750

For the mass density, the calculation gives 3.90 g cm⁻³. Its crystal system is cubic. As for the volume: 21.24 A^3/atom. Its space-group type is F-43m (216).


Which of them is most stable? Easy: *B*.


*A*
The following is a DFT calculation (PBE) of a geometry-optimized Ca2FeCu structure.

a b c (Å): 3.479 3.473 7.424
angles (deg): 90.00 90.00 90.00
Positions (direct):
Ca 0.000 0.000 0.497
Ca 0.000 0.000 0.003
Fe 0.500 0.500 0.750
Cu 0.500 0.500 0.250

For the mass density, the calculation gives 3.69 g cm⁻³. Its crystal system is tetragonal. As for the volume: 22.43 A^3/atom. Its space-group type is P4/mmm (123).


*B*
The following is a DFT calculation (PBE) of a geometry-optimized Ca2FeCu structure.

a b c (Å): 6.142 6.142 4.862
angles (deg): 66.53 66.53 33.33
Positions (direct):
Ca 0.773 0.773 0.728
Cu 0.543 0.543 0.456
Fe 0.197 0.197 0.304
Ca 0.987 0.987 0.013

For the mass density, the calculation gives 3.61 g cm⁻³. Its crystal system is monoclinic. As for the volume: 22.92 A^3/atom. Its space-group type is Cm (8).


Which of them is most stable? Easy: *B*.


*A*
The following is a DFT calculation (PBE) of a geometry-optimized Ca2FeCu structure.

a b c (Å): 3.376 3.376 8.271
angles (deg): 90.00 90.00 90.00
Positions (direct):
Ca 0.500 0.500 0.325
Cu 0.000 0.000 0.567
Ca 0.000 0.000 0.927
Fe 0.500 0.500 0.681

For the mass density, the calculation gives 3.51 g cm⁻³. Its crystal system is tetragonal. As for the volume: 23.57 A^3/atom. Its space-group type is P4mm (99).


*B*
The following is a DFT calculation (PBE) of a geometry-optimized Ca2FeCu structure.

a b c (Å): 9.004 9.004 9.004
angles (deg): 23.01 23.01 23.01
Positions (direct):
Fe 0.750 0.750 0.750
Ca 0.501 0.501 0.501
Ca 0.999 0.999 0.999
Cu 0.250 0.250 0.250

For the mass density, the calculation gives 3.38 g cm⁻³. Its crystal system is trigonal. As for the volume: 24.47 A^3/atom. Its space-group type is R-3m (166).


Which of them is most stable? Easy: *A*.


*A*
The following is a DFT calculation (PBE) of a geometry-optimized CaFe2Cu2 structure.

a b c (Å): 7.417 7.417 2.700
angles (deg): 90.00 90.00 90.00
Positions (direct):
Fe 0.889 0.611 0.000
Cu 0.679 0.821 0.500
Ca 0.000 0.000 0.000
Fe 0.611 0.111 0.000
Cu 0.321 0.179 0.500
Cu 0.821 0.321 0.500
Cu 0.179 0.679 0.500
Fe 0.111 0.389 0.000
Fe 0.389 0.889 0.000
Ca 0.500 0.500 0.000

For the mass density, the calculation gives 6.24 g cm⁻³. Its crystal system is tetragonal. As for the volume: 14.85 A^3/atom. Its space-group type is P4/mbm (127).


*B*
The following is a DFT calculation (PBE) of a geometry-optimized CaFe2Cu2 structure.

a b c (Å): 3.748 3.748 6.343
angles (deg): 72.82 72.82 90.00
Positions (direct):
Cu 0.392 0.392 0.215
Fe 0.250 0.750 0.500
Ca 0.000 0.000 0.000
Cu 0.608 0.608 0.785
Fe 0.750 0.250 0.500

For the mass density, the calculation gives 5.72 g cm⁻³. Its crystal system is tetragonal. As for the volume: 16.19 A^3/atom. Its space-group type is I4/mmm (139).


Which of them is most stable? Easy: *B*.


*A*
The following is a DFT calculation (PBE) of a geometry-optimized Ca2Ga5Cu3 structure.

a b c (Å): 4.313 6.783 12.455
angles (deg): 90.00 99.97 90.00
Positions (direct):
Cu 0.608 0.525 0.215
Ga 0.709 0.019 0.419
Cu 0.053 0.964 0.106
Ga 0.123 0.255 0.247
Ga 0.291 0.519 0.581
Ga 0.397 0.425 0.794
Cu 0.392 0.025 0.785
Ga 0.053 0.569 0.106
Ga 0.294 0.914 0.588
Ga 0.877 0.755 0.753
Cu 0.947 0.464 0.894
Cu 0.226 0.213 0.453
Ga 0.706 0.414 0.412
Ca 0.825 0.224 0.650
Ga 0.947 0.069 0.894
Ca 0.175 0.724 0.350
Ca 0.484 0.756 0.969
Ga 0.603 0.925 0.206
Ca 0.516 0.256 0.031
Cu 0.774 0.713 0.547

For the mass density, the calculation gives 5.73 g cm⁻³. Its crystal system is orthorhombic. As for the volume: 17.94 A^3/atom. Its space-group type is Cmc2_1 (36).


*B*
The following is a DFT calculation (PBE) of a geometry-optimized Ca2Ga5Cu3 structure.

a b c (Å): 4.296 4.296 10.235
angles (deg): 90.00 90.00 90.00
Positions (direct):
Ga 0.000 0.000 0.000
Cu 0.000 0.500 0.386
Cu 0.000 0.000 0.500
Ga 0.500 0.000 0.847
Ga 0.500 0.500 0.000
Ga 0.000 0.500 0.153
Cu 0.500 0.000 0.614
Ca 0.500 0.000 0.264
Ca 0.000 0.500 0.736
Ga 0.500 0.500 0.500

For the mass density, the calculation gives 5.44 g cm⁻³. Its crystal system is tetragonal. As for the volume: 18.89 A^3/atom. Its space-group type is P-4m2 (115).


Which of them is most stable? Easy: *A*.


*A*
The following is a DFT calculation (PBE) of a geometry-optimized CaCu4Ge2 structure.

a b c (Å): 4.135 4.135 8.111
angles (deg): 75.23 75.23 60.00
Positions (direct):
Cu 0.558 0.558 0.327
Ca 0.000 0.000 0.000
Cu 0.142 0.142 0.574
Cu 0.858 0.858 0.426
Cu 0.442 0.442 0.673
Ge 0.250 0.250 0.250
Ge 0.750 0.750 0.750

For the mass density, the calculation gives 6.36 g cm⁻³. Its crystal system is trigonal. As for the volume: 16.39 A^3/atom. Its space-group type is R-3m (166).


*B*
The following is a DFT calculation (PBE) of a geometry-optimized CaCu4Ge2 structure.

a b c (Å): 3.915 7.514 7.514
angles (deg): 90.00 90.00 90.00
Positions (direct):
Cu 0.500 0.846 0.413
Ge 0.500 0.281 0.281
Ge 0.000 0.781 0.219
Cu 0.500 0.587 0.154
Ca 0.000 0.500 0.500
Cu 0.000 0.346 0.087
Ge 0.000 0.219 0.781
Cu 0.000 0.654 0.913
Ca 0.500 0.000 0.000
Cu 0.000 0.913 0.654
Ge 0.500 0.719 0.719
Cu 0.500 0.413 0.846
Cu 0.500 0.154 0.587
Cu 0.000 0.087 0.346

For the mass density, the calculation gives 6.60 g cm⁻³. Its crystal system is tetragonal. As for the volume: 15.79 A^3/atom. Its space-group type is P4_2/mnm (136).


Which of them is most stable? Easy: *A*.


*A*
The following is a DFT calculation (PBE) of a geometry-optimized Ca3Cu2Ge4 structure.

a b c (Å): 4.176 6.010 8.442
angles (deg): 98.41 90.00 110.33
Positions (direct):
Ge 0.057 0.114 0.384
Ge 0.943 0.886 0.616
Ge 0.719 0.438 0.068
Ca 0.337 0.674 0.337
Ca 0.663 0.326 0.663
Cu 0.392 0.784 0.717
Cu 0.608 0.216 0.283
Ca 0.000 0.000 0.000
Ge 0.281 0.562 0.932

For the mass density, the calculation gives 4.55 g cm⁻³. Its crystal system is monoclinic. As for the volume: 21.81 A^3/atom. Its space-group type is C2/m (12).


*B*
The following is a DFT calculation (PBE) of a geometry-optimized Ca3Cu2Ge4 structure.

a b c (Å): 4.294 5.763 8.341
angles (deg): 102.50 90.00 111.88
Positions (direct):
Ca 0.378 0.755 0.304
Ge 0.907 0.814 0.582
Ca 0.000 0.000 0.000
Cu 0.686 0.372 0.359
Ca 0.622 0.245 0.696
Cu 0.314 0.628 0.641
Ge 0.711 0.421 0.069
Ge 0.289 0.579 0.931
Ge 0.093 0.186 0.418

For the mass density, the calculation gives 4.79 g cm⁻³. Its crystal system is monoclinic. As for the volume: 20.70 A^3/atom. Its space-group type is C2/m (12).


Which of them is most stable? Easy: *A*.